Record 1
# Mn2FeSi, single point on PBEsol structure, DFT SCAN
# - E: -16.36 eV/atom
# - Crystal system: orthorhombic
# - Total magnetic moment: 2.254 μB/cell
# - SG: Pmmm (47)
# - N(E_F): 0.6719 states/eV/atom
# - Raw formation energy: -0.19 eV per atom
data_Mn2FeSi
_symmetry_space_group_name_H-M 'P 1'
_symmetry_Int_Tables_number 1
_cell_length_a 2.5132
_cell_length_b 3.5318
_cell_length_c 4.8158
_cell_angle_alpha 90.00
_cell_angle_beta 90.00
_cell_angle_gamma 90.00
loop_
_symmetry_equiv_pos_as_xyz
'x,y,z'
loop_
_atom_site_label
_atom_site_type_symbol
_atom_site_fract_x
_atom_site_fract_y
_atom_site_fract_z
_atom_site_occupancy
Mn1 Mn 0.0000 0.0000 0.7488 1
Mn2 Mn 0.0000 0.0000 0.2512 1
Si1 Si 0.5000 0.5000 0.0000 1
Fe1 Fe 0.5000 0.5000 0.5000 1



Record 2
# La2MgS4, single point on PBEsol structure, DFT SCAN
# - E: -20.73 eV/atom
# - Crystal system: orthorhombic
# - Total magnetic moment: 0.000 μB/cell
# - SG: Pnma (62)
# - N(E_F): 0.0000 states/eV/atom
# - Raw formation energy: -2.20 eV per atom
# - Offset from the most stable computed form: 0.00 eV/f.u.
data_La2MgS4
_symmetry_space_group_name_H-M 'P 1'
_symmetry_Int_Tables_number 1
_cell_length_a 6.6262
_cell_length_b 8.3469
_cell_length_c 13.8717
_cell_angle_alpha 90.00
_cell_angle_beta 90.00
_cell_angle_gamma 90.00
loop_
_symmetry_equiv_pos_as_xyz
'x,y,z'
loop_
_atom_site_label
_atom_site_type_symbol
_atom_site_fract_x
_atom_site_fract_y
_atom_site_fract_z
_atom_site_occupancy
La1 La 0.5000 0.5000 0.0000 1
La2 La 0.9816 0.7500 0.7746 1
La3 La 0.0000 0.5000 0.5000 1
La4 La 0.5000 0.0000 0.0000 1
La5 La 0.4816 0.2500 0.7254 1
La6 La 0.0000 0.0000 0.5000 1
La7 La 0.0184 0.2500 0.2254 1
La8 La 0.5184 0.7500 0.2746 1
Mg1 Mg 0.0833 0.7500 0.0998 1
Mg2 Mg 0.4167 0.7500 0.5998 1
Mg3 Mg 0.5833 0.2500 0.4002 1
Mg4 Mg 0.9167 0.2500 0.9002 1
S1 S 0.2208 0.2500 0.4095 1
S2 S 0.7623 0.4779 0.3270 1
S3 S 0.7391 0.2500 0.5624 1
S4 S 0.2792 0.2500 0.9095 1
S5 S 0.7609 0.2500 0.0624 1
S6 S 0.7208 0.7500 0.0905 1
S7 S 0.2377 0.9779 0.6730 1
S8 S 0.7623 0.0221 0.3270 1
S9 S 0.7377 0.0221 0.8270 1
S10 S 0.2623 0.9779 0.1730 1
S11 S 0.2623 0.5221 0.1730 1
S12 S 0.7377 0.4779 0.8270 1
S13 S 0.2391 0.7500 0.9376 1
S14 S 0.2609 0.7500 0.4376 1
S15 S 0.2377 0.5221 0.6730 1
S16 S 0.7792 0.7500 0.5905 1



Record 3
# CrAgTe2, single point on PBEsol structure, DFT SCAN
# - E: -31.32 eV/atom
# - Crystal system: monoclinic
# - Total magnetic moment: 3.031 μB/cell
# - SG: C2/m (12)
# - N(E_F): 0.2068 states/eV/atom
# - Raw formation energy: -0.26 eV per atom
data_CrAgTe2
_symmetry_space_group_name_H-M 'P 1'
_symmetry_Int_Tables_number 1
_cell_length_a 3.9138
_cell_length_b 3.9108
_cell_length_c 7.2354
_cell_angle_alpha 105.77
_cell_angle_beta 90.00
_cell_angle_gamma 120.03
loop_
_symmetry_equiv_pos_as_xyz
'x,y,z'
loop_
_atom_site_label
_atom_site_type_symbol
_atom_site_fract_x
_atom_site_fract_y
_atom_site_fract_z
_atom_site_occupancy
Te1 Te 0.2418 0.4835 0.2240 1
Te2 Te 0.7582 0.5165 0.7760 1
Cr1 Cr 0.5000 0.0000 0.0000 1
Ag1 Ag 0.0000 0.0000 0.5000 1



Record 4
# GaS2F, single point on PBEsol structure, DFT SCAN
# - E: -9.84 eV/atom
# - Crystal system: cubic
# - Total magnetic moment: 0.000 μB/cell
# - SG: Fm-3m (225)
# - N(E_F): 0.4688 states/eV/atom
# - Raw formation energy: -0.05 eV per atom
# - Offset from the most stable computed form: 0.68 eV/f.u.
data_GaS2F
_symmetry_space_group_name_H-M 'P 1'
_symmetry_Int_Tables_number 1
_cell_length_a 4.2302
_cell_length_b 4.2302
_cell_length_c 4.2302
_cell_angle_alpha 60.00
_cell_angle_beta 60.00
_cell_angle_gamma 60.00
loop_
_symmetry_equiv_pos_as_xyz
'x,y,z'
loop_
_atom_site_label
_atom_site_type_symbol
_atom_site_fract_x
_atom_site_fract_y
_atom_site_fract_z
_atom_site_occupancy
S1 S 0.2500 0.2500 0.2500 1
S2 S 0.7500 0.7500 0.7500 1
Ga1 Ga 0.5000 0.5000 0.5000 1
F1 F 0.0000 0.0000 0.0000 1



Record 5
# YSbI2Cl, single point on PBEsol structure, DFT SCAN
# - E: -29.78 eV/atom
# - Crystal system: tetragonal
# - Total magnetic moment: 1.130 μB/cell
# - SG: P4/mmm (123)
# - N(E_F): 0.6343 states/eV/atom
# - Raw formation energy: -0.47 eV per atom
data_YSbI2Cl
_symmetry_space_group_name_H-M 'P 1'
_symmetry_Int_Tables_number 1
_cell_length_a 5.7070
_cell_length_b 5.7070
_cell_length_c 6.1388
_cell_angle_alpha 90.00
_cell_angle_beta 90.00
_cell_angle_gamma 90.00
loop_
_symmetry_equiv_pos_as_xyz
'x,y,z'
loop_
_atom_site_label
_atom_site_type_symbol
_atom_site_fract_x
_atom_site_fract_y
_atom_site_fract_z
_atom_site_occupancy
Cl1 Cl 0.5000 0.5000 0.5000 1
Sb1 Sb 0.0000 0.0000 0.5000 1
Y1 Y 0.0000 0.0000 0.0000 1
I1 I 0.0000 0.5000 0.0000 1
I2 I 0.5000 0.0000 0.0000 1



Record 6
# GdVO4, single point on PBEsol structure, DFT SCAN
# - E: -20.13 eV/atom
# - Crystal system: tetragonal
# - Total magnetic moment: 13.959 μB/cell
# - SG: I4_1/amd (141)
# - N(E_F): 0.0000 states/eV/atom
# - Raw formation energy: -3.25 eV per atom
data_GdVO4
_symmetry_space_group_name_H-M 'P 1'
_symmetry_Int_Tables_number 1
_cell_length_a 5.9809
_cell_length_b 5.9809
_cell_length_c 5.9809
_cell_angle_alpha 106.11
_cell_angle_beta 106.11
_cell_angle_gamma 116.43
loop_
_symmetry_equiv_pos_as_xyz
'x,y,z'
loop_
_atom_site_label
_atom_site_type_symbol
_atom_site_fract_x
_atom_site_fract_y
_atom_site_fract_z
_atom_site_occupancy
O1 O 0.8565 0.6732 0.1833 1
O2 O 0.3268 0.1435 0.8167 1
O3 O 0.7601 0.0768 0.6833 1
O4 O 0.9232 0.6065 0.6833 1
O5 O 0.9232 0.2399 0.3167 1
O6 O 0.4899 0.6732 0.8167 1
O7 O 0.3935 0.0768 0.3167 1
O8 O 0.3268 0.5101 0.1833 1
V1 V 0.5000 0.5000 0.0000 1
V2 V 0.7500 0.2500 0.5000 1
Gd1 Gd 0.2500 0.7500 0.5000 1
Gd2 Gd 0.0000 0.0000 0.0000 1



Record 7
# CrHgRu, single point on PBEsol structure, DFT SCAN
# - E: -40.00 eV/atom
# - Crystal system: trigonal
# - Total magnetic moment: 0.000 μB/cell
# - SG: P3m1 (156)
# - N(E_F): 0.7029 states/eV/atom
# - Formation energy from the elements: 0.458 eV per atom
data_CrHgRu
_symmetry_space_group_name_H-M 'P 1'
_symmetry_Int_Tables_number 1
_cell_length_a 2.7711
_cell_length_b 2.7711
_cell_length_c 6.7187
_cell_angle_alpha 90.00
_cell_angle_beta 90.00
_cell_angle_gamma 120.00
loop_
_symmetry_equiv_pos_as_xyz
'x,y,z'
loop_
_atom_site_label
_atom_site_type_symbol
_atom_site_fract_x
_atom_site_fract_y
_atom_site_fract_z
_atom_site_occupancy
Ru1 Ru 0.3333 0.6667 0.3009 1
Hg1 Hg 0.6667 0.3333 0.6729 1
Cr1 Cr 0.0000 0.0000 0.0263 1



Record 8
# BeHSeBr2, single point on PBEsol structure, DFT SCAN
# - E: -12.93 eV/atom
# - Crystal system: tetragonal
# - Total magnetic moment: 2.426 μB/cell
# - SG: P4/mmm (123)
# - N(E_F): 0.4045 states/eV/atom
# - Offset from the most stable computed form: 0.00 eV/f.u.
data_BeHSeBr2
_symmetry_space_group_name_H-M 'P 1'
_symmetry_Int_Tables_number 1
_cell_length_a 4.3931
_cell_length_b 4.8665
_cell_length_c 4.8665
_cell_angle_alpha 90.00
_cell_angle_beta 90.00
_cell_angle_gamma 90.00
loop_
_symmetry_equiv_pos_as_xyz
'x,y,z'
loop_
_atom_site_label
_atom_site_type_symbol
_atom_site_fract_x
_atom_site_fract_y
_atom_site_fract_z
_atom_site_occupancy
H1 H 0.5000 0.5000 0.5000 1
Se1 Se 0.5000 0.0000 0.0000 1
Br1 Br 0.0000 0.0000 0.5000 1
Br2 Br 0.0000 0.5000 0.0000 1
Be1 Be 0.0000 0.0000 0.0000 1